Record 1
{"formula": "SrPrY2S4", "functional": "PBE-GGA", "state": "optimized geometry", "crystal_system": "monoclinic", "lattice": [[-0.7801, -2.7401, -2.8208], [6.7089, 0.2376, -2.0861], [3.6765, -4.7533, 3.6006]], "species": ["Sr", "Pr", "Y", "Y", "S", "S", "S", "S"], "fractional_positions": [[0.5000, 0.5000, 0.0000], [0.0000, 0.5000, 0.5000], [0.0000, 0.0000, 0.0000], [0.5000, 0.0000, 0.5000], [0.0000, 0.7687, 0.7428], [0.0000, 0.2313, 0.2572], [0.5000, 0.7674, 0.2444], [0.5000, 0.2326, 0.7556]]}

Record 2
{"formula": "Sr2PrYS4", "functional": "PBE-GGA", "state": "optimized geometry", "crystal_system": "monoclinic", "lattice": [[4.0972, 0.0000, 0.0000], [0.0000, 7.1012, 0.1253], [0.0000, -2.4809, 6.8114]], "species": ["Sr", "Sr", "Pr", "Y", "S", "S", "S", "S"], "fractional_positions": [[0.5000, 0.0000, 0.5000], [0.0000, 0.5000, 0.5000], [0.5000, 0.5000, 0.0000], [0.0000, 0.0000, 0.0000], [0.5000, 0.2367, 0.2334], [0.5000, 0.7633, 0.7666], [0.0000, 0.2453, 0.7610], [0.0000, 0.7547, 0.2390]]}

Record 3
{"formula": "Sr3Pr3YS8", "functional": "PBE-GGA", "state": "optimized geometry", "crystal_system": "trigonal", "lattice": [[8.2471, 0.0000, 0.0000], [-4.1235, 7.1420, -0.0253], [0.0000, -4.7371, 6.9516]], "species": ["Sr", "Sr", "Sr", "Pr", "Pr", "Pr", "Y", "S", "S", "S", "S", "S", "S", "S", "S"], "fractional_positions": [[0.0000, 0.0000, 0.0000], [0.0000, 0.5000, 0.0000], [0.5000, 0.5000, 0.0000], [0.5000, 0.0000, 0.5000], [0.5000, 0.5000, 0.5000], [0.0000, 0.5000, 0.5000], [0.0000, 0.0000, 0.5000], [0.2524, 0.5049, 0.2573], [0.7476, 0.4951, 0.7427], [0.7639, 0.5278, 0.2717], [0.2361, 0.4722, 0.7283], [0.7639, 0.0078, 0.2717], [0.2361, 0.9922, 0.7283], [0.2439, 0.0078, 0.2717], [0.7561, 0.9922, 0.7283]]}

Record 4
{"formula": "PrTa4S8", "functional": "PBE-GGA", "state": "optimized geometry", "crystal_system": "trigonal", "lattice": [[-2.2479, -6.4338, -0.2709], [6.0284, 1.6246, -2.7458], [2.6086, 2.4030, 7.1489]], "species": ["Pr", "Ta", "Ta", "Ta", "Ta", "S", "S", "S", "S", "S", "S", "S", "S"], "fractional_positions": [[0.0000, 0.5000, 0.5000], [0.0000, 0.0000, 0.0000], [0.0000, 0.5000, 0.0000], [0.5000, 0.5000, 0.0000], [0.5000, 0.0000, 0.0000], [0.4798, 0.7399, 0.2197], [0.5202, 0.2601, 0.7803], [0.4723, 0.2362, 0.2230], [0.0132, 0.2494, 0.7770], [0.5277, 0.7638, 0.7770], [0.0132, 0.7638, 0.7770], [0.9868, 0.2362, 0.2230], [0.9868, 0.7506, 0.2230]]}

Record 5
{"formula": "PrTaS3", "functional": "PBE-GGA", "state": "optimized geometry", "crystal_system": "triclinic", "lattice": [[-1.1066, -3.0844, 1.3278], [3.1162, 0.9459, 4.8195], [-7.4197, 6.4332, 4.0867]], "species": ["Pr", "Pr", "Ta", "Ta", "S", "S", "S", "S", "S", "S"], "fractional_positions": [[0.0034, 0.7481, 0.2296], [0.8640, 0.0936, 0.9555], [0.6849, 0.2119, 0.5953], [0.1825, 0.6299, 0.5897], [0.7464, 0.8251, 0.7190], [0.6036, 0.5317, 0.4304], [0.3975, 0.6950, 0.0157], [0.2638, 0.3100, 0.7547], [0.4700, 0.1466, 0.1694], [0.1210, 0.0167, 0.4660]]}

Record 6
{"formula": "Pr2Ta2S7", "functional": "PBE-GGA", "state": "optimized geometry", "crystal_system": "monoclinic", "lattice": [[-4.1301, 4.4554, -2.9188], [-0.2089, -4.6123, -5.5585], [-4.5232, -1.3933, 5.4601]], "species": ["Pr", "Pr", "Ta", "Ta", "S", "S", "S", "S", "S", "S", "S"], "fractional_positions": [[0.0000, 0.3163, 0.6837], [0.0000, 0.6837, 0.3163], [0.3936, 0.2795, 0.2795], [0.6064, 0.7205, 0.7205], [0.7619, 0.9521, 0.6075], [0.2381, 0.3925, 0.0479], [0.2381, 0.0479, 0.3925], [0.7619, 0.6075, 0.9521], [0.5000, 0.0000, 0.0000], [0.2649, 0.5838, 0.5838], [0.7351, 0.4162, 0.4162]]}

Record 7
{"formula": "PrTaS2", "functional": "PBE-GGA", "state": "optimized geometry", "crystal_system": "trigonal", "lattice": [[3.4241, 0.0000, 0.0000], [1.7121, 2.9654, 0.0000], [1.7121, 0.9885, 8.9166]], "species": ["Pr", "S", "S", "Ta"], "fractional_positions": [[0.0000, 0.0000, 0.0000], [0.1088, 0.1088, 0.6735], [0.8912, 0.8912, 0.3265], [0.5000, 0.5000, 0.5000]]}

Record 8
{"formula": "Pr3TaS6", "functional": "PBE-GGA", "state": "optimized geometry", "crystal_system": "orthorhombic", "lattice": [[-6.7240, 0.0324, 0.2550], [-0.3060, -4.6695, -7.4752], [0.1973, -6.4410, 6.0208]], "species": ["Pr", "Pr", "Pr", "Pr", "Pr", "Pr", "Ta", "Ta", "S", "S", "S", "S", "S", "S", "S", "S", "S", "S", "S", "S"], "fractional_positions": [[0.4793, 0.9133, 0.7302], [0.9793, 0.7302, 0.9133], [0.3940, 0.4033, 0.5967], [0.8940, 0.5967, 0.4033], [0.9793, 0.0867, 0.2698], [0.4793, 0.2698, 0.0867], [0.0264, 0.1862, 0.8138], [0.5264, 0.8138, 0.1862], [0.1883, 0.6892, 0.6304], [0.6883, 0.6304, 0.6892], [0.1846, 0.4208, 0.8995], [0.6846, 0.8995, 0.4208], [0.1745, 0.0266, 0.9734], [0.6860, 0.2198, 0.7802], [0.1860, 0.7802, 0.2198], [0.6745, 0.9734, 0.0266], [0.1846, 0.1005, 0.5792], [0.6846, 0.5792, 0.1005], [0.1883, 0.3696, 0.3108], [0.6883, 0.3108, 0.3696]]}

no.,calculated total energy (eV/atom)
1,-6.5065
2,-5.9300
3,-6.0003
4,-7.7078
5,-7.1645
6,-6.9047
7,-7.0190
8,-6.7182